[1]
This record from the Open Quantum Materials Database describes a relaxed ZrFeSiOs crystal. The functional is PBE-GGA.

Space-group type ... F-43m, No. 216
Energy above the most stable polymorph in this dataset ... 0 meV per atom

Cell: 4.330 4.330 4.330 Å, 60.00 60.00 60.00°
Element x y z (fractional)
Fe (0.750, 0.750, 0.750)
Os (0.250, 0.250, 0.250)
Si (0.000, 0.000, 0.000)
Zr (0.500, 0.500, 0.500)

[2]
This record from the Open Quantum Materials Database describes a relaxed HoSnTe2AuS crystal. The functional is PBE-GGA.

Space-group type ... Cmcm, No. 63

Cell: 7.603 7.603 10.222 Å, 90.00 90.00 147.48°
Element x y z (fractional)
Au (0.519, 0.481, 0.250)
Au (0.481, 0.519, 0.750)
Ho (0.000, 0.000, 0.000)
Ho (0.000, 0.000, 0.500)
S (0.918, 0.082, 0.250)
S (0.082, 0.918, 0.750)
Sn (0.270, 0.730, 0.250)
Sn (0.730, 0.270, 0.750)
Te (0.652, 0.348, 0.056)
Te (0.652, 0.348, 0.444)
Te (0.348, 0.652, 0.556)
Te (0.348, 0.652, 0.944)

[3]
This record from the Open Quantum Materials Database describes a relaxed Zr3AlCd2PdPt2 crystal. The functional is PBE-GGA.

Space-group type ... Amm2, No. 38

Cell: 3.507 7.527 7.527 Å, 120.66 90.00 90.00°
Element x y z (fractional)
Al (0.000, 0.266, 0.266)
Cd (0.000, 0.997, 0.734)
Cd (0.000, 0.734, 0.997)
Pd (0.500, 0.031, 0.031)
Pt (0.000, 0.650, 0.327)
Pt (0.000, 0.327, 0.650)
Zr (0.500, 0.402, 0.002)
Zr (0.500, 0.002, 0.402)
Zr (0.500, 0.591, 0.591)

[4]
This record from the Open Quantum Materials Database describes a relaxed AlZnMo crystal. The functional is PBE-GGA.

Space-group type ... F-43m, No. 216
Energy above the most stable polymorph in this dataset ... 0 meV per atom

Cell: 4.162 4.162 4.162 Å, 60.00 60.00 60.00°
Element x y z (fractional)
Al (0.250, 0.250, 0.250)
Mo (0.750, 0.750, 0.750)
Zn (0.000, 0.000, 0.000)

[5]
This record from the Open Quantum Materials Database describes a relaxed Zr2Ga2CuAg crystal. The functional is PBE-GGA.

Space-group type ... Pm, No. 6

Cell: 7.559 4.333 14.425 Å, 90.00 99.55 90.00°
Element x y z (fractional)
Ag (0.250, 0.000, 0.250)
Ag (0.752, 0.500, 0.252)
Ag (0.749, 0.000, 0.749)
Ag (0.499, 0.000, 0.997)
Cu (0.499, 0.500, 0.503)
Cu (0.002, 0.000, 0.504)
Cu (0.247, 0.500, 0.747)
Cu (0.002, 0.500, 0.998)
Ga (0.062, 0.500, 0.183)
Ga (0.563, 0.000, 0.187)
Ga (0.313, 0.000, 0.444)
Ga (0.816, 0.500, 0.445)
Ga (0.553, 0.500, 0.684)
Ga (0.066, 0.000, 0.685)
Ga (0.305, 0.500, 0.933)
Ga (0.820, 0.000, 0.938)
Zr (0.175, 0.000, 0.057)
Zr (0.700, 0.500, 0.061)
Zr (0.441, 0.500, 0.321)
Zr (0.942, 0.000, 0.322)
Zr (0.684, 0.000, 0.558)
Zr (0.188, 0.500, 0.563)
Zr (0.421, 0.000, 0.805)
Zr (0.951, 0.500, 0.815)

[6]
This record from the Open Quantum Materials Database describes a relaxed Sm2Dy2CI2Br2Cl crystal. The functional is PBE-GGA.

Space-group type ... C2/m, No. 12
Energy above the most stable polymorph in this dataset ... 0 meV per atom

Cell: 9.630 9.630 8.098 Å, 101.97 101.97 23.37°
Element x y z (fractional)
Br (0.160, 0.160, 0.335)
Br (0.840, 0.840, 0.665)
C (0.500, 0.500, 0.000)
Cl (0.500, 0.500, 0.500)
Dy (0.631, 0.631, 0.070)
Dy (0.369, 0.369, 0.930)
I (0.828, 0.828, 0.186)
I (0.172, 0.172, 0.814)
Sm (0.999, 0.999, 0.212)
Sm (0.001, 0.001, 0.788)

[7]
This record from the Open Quantum Materials Database describes a relaxed KSnAuSe3 crystal. The functional is PBE-GGA.

Space-group type ... Pnma, No. 62
Energy above the most stable polymorph in this dataset ... 70 meV per atom

Cell: 10.145 4.405 15.228 Å, 90.00 90.00 90.00°
Element x y z (fractional)
Au (0.383, 0.250, 0.161)
Au (0.883, 0.250, 0.339)
Au (0.117, 0.750, 0.661)
Au (0.617, 0.750, 0.839)
K (0.030, 0.750, 0.190)
K (0.530, 0.750, 0.310)
K (0.470, 0.250, 0.690)
K (0.970, 0.250, 0.810)
Se (0.119, 0.250, 0.006)
Se (0.447, 0.750, 0.086)
Se (0.721, 0.250, 0.205)
Se (0.221, 0.250, 0.295)
Se (0.947, 0.750, 0.414)
Se (0.619, 0.250, 0.494)
Se (0.381, 0.750, 0.506)
Se (0.053, 0.250, 0.586)
Se (0.779, 0.750, 0.705)
Se (0.279, 0.750, 0.795)
Se (0.553, 0.250, 0.914)
Se (0.881, 0.750, 0.994)
Sn (0.740, 0.250, 0.036)
Sn (0.240, 0.250, 0.464)
Sn (0.760, 0.750, 0.536)
Sn (0.260, 0.750, 0.964)

[8]
This record from the Open Quantum Materials Database describes a relaxed GdTmTlTe3 crystal. The functional is PBE-GGA.

Space-group type ... Cmcm, No. 63
Energy above the most stable polymorph in this dataset ... 22 meV per atom

Cell: 7.966 7.966 12.007 Å, 90.00 90.00 148.18°
Element x y z (fractional)
Gd (0.074, 0.926, 0.250)
Gd (0.926, 0.074, 0.750)
Te (0.142, 0.858, 0.020)
Te (0.439, 0.561, 0.250)
Te (0.142, 0.858, 0.480)
Te (0.858, 0.142, 0.520)
Te (0.561, 0.439, 0.750)
Te (0.858, 0.142, 0.980)
Tl (0.756, 0.244, 0.250)
Tl (0.244, 0.756, 0.750)
Tm (0.500, 0.500, 0.000)
Tm (0.500, 0.500, 0.500)

| no. | energy (Ha/atom) |
| --- | --- |
| 1 | -0.3220 |
| 2 | -0.1627 |
| 3 | -0.2250 |
| 4 | -0.1747 |
| 5 | -0.1903 |
| 6 | -0.1824 |
| 7 | -0.1319 |
| 8 | -0.1629 |